# 1
The following is a DFT calculation (PBE) of PmPrSm6Er2 after structural relaxation. Values from VASP.

Quantum ESPRESSO input file:
```
&SYSTEM
  ibrav = 0, nat = 20, ntyp = 4
/
ATOMIC_SPECIES
Er 167.26 Er.upf
Sm 150.36 Sm.upf
Pm 145.00 Pm.upf
Pr 140.91 Pr.upf
ATOMIC_POSITIONS angstrom
Er -2.344 -5.042 -0.019
Er 1.139 -1.633 -1.351
Er -2.021 -10.595 -1.384
Er 1.462 -7.185 -2.716
Sm -0.427 -7.798 -0.030
Sm -0.454 -4.430 -2.706
Sm -2.098 -4.947 -5.922
Sm 2.751 -3.968 -3.144
Sm -0.757 -10.294 2.012
Sm 3.236 -4.098 3.594
Sm -4.117 -8.130 -6.329
Sm 1.216 -7.280 3.187
Sm -2.494 -6.883 3.113
Sm 1.612 -5.344 -5.848
Sm -0.125 -1.934 -4.747
Sm -3.633 -8.259 0.408
Pm -1.141 -9.258 5.398
Pm 0.260 -2.970 -8.133
Pr -2.535 -7.331 -2.769
Pr 1.653 -4.897 0.034
CELL_PARAMETERS angstrom
-7.450 -6.148 -0.179
2.042 -1.322 -8.558
4.527 -4.758 6.002
```

Calculated values
- Energy relative to the elements: 0.12 eV/atom
- Size of the total moment: 0.000 Bohr magnetons per cell



# 2
The following is a DFT calculation (PBE) of ErPa2Ge after structural relaxation. Values from VASP.

Quantum ESPRESSO input file:
```
&SYSTEM
  ibrav = 0, nat = 4, ntyp = 3
/
ATOMIC_SPECIES
Pa 231.04 Pa.upf
Er 167.26 Er.upf
Ge 72.64 Ge.upf
ATOMIC_POSITIONS angstrom
Pa 0.000 0.000 2.155
Pa 0.000 2.155 0.000
Er 2.492 2.155 2.155
Ge 2.492 0.000 0.000
CELL_PARAMETERS angstrom
4.984 0.000 0.000
0.000 4.310 0.000
0.000 0.000 4.310
```

Calculated values
- Energy relative to the elements: -0.22 eV/atom
- Size of the total moment: 0.000 Bohr magnetons per cell
- Polymorph energy (0 for the lowest one): 0 meV per atom



# 3
The following is a DFT calculation (PBE) of TaCo2HAu after structural relaxation. Values from VASP.

Quantum ESPRESSO input file:
```
&SYSTEM
  ibrav = 0, nat = 5, ntyp = 4
/
ATOMIC_SPECIES
Co 58.93 Co.upf
Ta 180.95 Ta.upf
H 1.01 H.upf
Au 196.97 Au.upf
ATOMIC_POSITIONS angstrom
Co 0.904 -1.719 -0.194
Co -1.477 -0.653 -1.097
Ta -0.881 -0.640 1.567
H 0.000 0.000 0.000
Au -1.453 -3.012 0.275
CELL_PARAMETERS angstrom
-2.953 -1.306 -2.195
1.809 -3.438 -0.388
-1.762 -1.281 3.133
```

Calculated values
- Size of the total moment: 0.561 Bohr magnetons per cell
- E: -6.506 eV/atom



# 4
The following is a DFT calculation (PBE) of CdSiW3 after structural relaxation. Values from VASP.

Quantum ESPRESSO input file:
```
&SYSTEM
  ibrav = 0, nat = 5, ntyp = 3
/
ATOMIC_SPECIES
Si 28.09 Si.upf
Cd 112.41 Cd.upf
W 183.84 W.upf
ATOMIC_POSITIONS angstrom
Si 0.000 0.000 0.000
Cd -1.929 -1.997 2.790
W 0.974 -1.175 1.684
W -1.433 -1.724 -0.373
W -1.471 0.902 1.480
CELL_PARAMETERS angstrom
-2.866 -3.448 -0.747
1.948 -2.349 3.368
-2.941 1.804 2.959
```

Calculated values
- Raw formation energy: 1327 meV/atom
- Size of the total moment: 0.000 Bohr magnetons per cell
- Polymorph energy (0 for the lowest one): 0 meV per atom



Which of these has the highest size of the total moment? TaCo2HAu



Among the records above, which one has the highest size of the total moment? TaCo2HAu



Repeat the second record exactly.
The following is a DFT calculation (PBE) of ErPa2Ge after structural relaxation. Values from VASP.

Quantum ESPRESSO input file:
```
&SYSTEM
  ibrav = 0, nat = 4, ntyp = 3
/
ATOMIC_SPECIES
Pa 231.04 Pa.upf
Er 167.26 Er.upf
Ge 72.64 Ge.upf
ATOMIC_POSITIONS angstrom
Pa 0.000 0.000 2.155
Pa 0.000 2.155 0.000
Er 2.492 2.155 2.155
Ge 2.492 0.000 0.000
CELL_PARAMETERS angstrom
4.984 0.000 0.000
0.000 4.310 0.000
0.000 0.000 4.310
```

Calculated values
- Energy relative to the elements: -0.22 eV/atom
- Size of the total moment: 0.000 Bohr magnetons per cell
- Polymorph energy (0 for the lowest one): 0 meV per atom